! Pm4Pr2Tl3O2 (PBE, relaxed); values from VASP
! Formation energy (no corrections): -1.216 eV per atom
! Size of the total moment: 0.000 μB per atom
! Crystal system: tetragonal
&SYSTEM
  ibrav = 0, nat = 11, ntyp = 4
/
ATOMIC_SPECIES
Pm 145.00 Pm.upf
Pr 140.91 Pr.upf
Tl 204.38 Tl.upf
O 16.00 O.upf
CELL_PARAMETERS angstrom
-2.4211 2.4211 12.8861
2.4211 -2.4211 12.8861
2.4211 2.4211 -12.8861
ATOMIC_POSITIONS angstrom
Pm 2.4211 0.0000 2.1763
Pm 2.4211 0.0000 10.7098
Pm 0.0000 2.4211 2.1763
Pm 0.0000 2.4211 10.7098
Pr 0.0000 0.0000 5.0823
Pr 0.0000 0.0000 20.6898
Tl 0.0000 0.0000 8.3720
Tl 0.0000 0.0000 12.8861
Tl 0.0000 0.0000 17.4001
O 0.0000 0.0000 2.5972
O 0.0000 0.0000 23.1750